First-principles (PBE with a Hubbard U) data for a relaxed structure of KCo4BrO6, as listed in the Open Quantum Materials Database.

Unit cell a=5.840 b=5.840 c=7.281 alpha=90.00 beta=90.00 gamma=120.00
Fractional coordinates of all 12 atoms:
Br 0.000 0.000 0.000
Co 0.667 0.333 0.233
Co 0.333 0.667 0.233
Co 0.667 0.333 0.767
Co 0.333 0.667 0.767
K 0.000 0.000 0.500
O 0.500 0.000 0.293
O 0.000 0.500 0.293
O 0.500 0.500 0.293
O 0.500 0.000 0.707
O 0.000 0.500 0.707
O 0.500 0.500 0.707

Results
E, eV per atom: -4.9998
Space-group type: No. 191